No. 1
The following is a PBE-GGA calculation of crystalline CsVCu2Cl8 at its relaxed geometry, from the Alexandria database.

Computed properties:
Space-group type: P-1
Raw total energy, eV per atom: -3.73
Formation energy from raw total energies, eV per formula unit: -11.81

Cell and atoms, written as POSCAR:
```
CsVCu2Cl8
1.0
6.879 0.000 0.000
3.433 6.175 0.000
0.037 1.519 8.326
Cs V Cu Cl
1 1 2 8
direct
0.000 0.000 0.000
0.000 0.000 0.500
0.474 0.046 0.180
0.526 0.954 0.820
0.154 0.698 0.389
0.155 0.170 0.317
0.325 0.837 0.680
0.367 0.268 0.922
0.633 0.732 0.078
0.675 0.163 0.320
0.845 0.830 0.683
0.846 0.302 0.611
```

***

No. 2
The following is a PBE-GGA calculation of crystalline PbSeN2F at its relaxed geometry, from the Alexandria database.

Computed properties:
Space-group type: P4/mmm
Raw total energy, eV per atom: -3.53
Energy above the most stable polymorph in this dataset, eV/atom: 0.3966
Formation energy from raw total energies, eV per formula unit: 8.05

Cell and atoms, written as POSCAR:
```
PbSeN2F
1.0
4.595 0.000 0.000
0.000 4.595 0.000
0.000 0.000 5.725
Pb Se N F
1 1 2 1
direct
0.000 0.000 0.000
0.000 0.000 0.500
0.000 0.500 0.000
0.500 0.000 0.000
0.500 0.500 0.500
```

***

No. 3
The following is a PBE-GGA calculation of crystalline Ca3AcMg at its relaxed geometry, from the Alexandria database.

Computed properties:
Space-group type: Pmmn
Raw total energy, eV per atom: -2.23
Energy above the most stable polymorph in this dataset, eV/atom: 0.0880

Cell and atoms, written as POSCAR:
```
Ca3AcMg
1.0
5.623 0.000 0.000
0.000 8.861 0.000
0.000 0.000 8.047
Ca Ac Mg
6 2 2
direct
0.250 0.048 0.197
0.250 0.250 0.771
0.250 0.452 0.197
0.750 0.548 0.803
0.750 0.750 0.229
0.750 0.952 0.803
0.250 0.750 0.551
0.750 0.250 0.449
0.250 0.750 0.962
0.750 0.250 0.038
```

***

No. 4
The following is a PBE-GGA calculation of crystalline Li2NdTc2N4 at its relaxed geometry, from the Alexandria database.

Computed properties:
Space-group type: C2/m
Raw total energy, eV per atom: -7.37
Formation energy from raw total energies, eV per formula unit: -3.71

Cell and atoms, written as POSCAR:
```
Li2NdTc2N4
1.0
5.210 -1.666 0.000
5.210 1.666 0.000
-4.120 0.000 7.161
Li Nd Tc N
2 1 2 4
direct
0.140 0.140 0.229
0.860 0.860 0.771
0.000 0.000 0.500
0.354 0.354 0.113
0.646 0.646 0.887
0.227 0.227 0.822
0.452 0.452 0.686
0.548 0.548 0.314
0.773 0.773 0.178
```

***

| no. | Fermi-level density of states (states/eV/cell) |
| --- | --- |
| 1 | 6.05 |
| 2 | 1.17 |
| 3 | 15.31 |
| 4 | 4.13 |